## a
KTl2Cl3: optimized geometry, PBE.

Structure (CIF):
```
data_KTl2Cl3
_symmetry_space_group_name_H-M 'I m m m'
_symmetry_Int_Tables_number 71
_symmetry_space_group_name_Hall '-I 2 2'
_cell_length_a 4.569
_cell_length_b 6.451
_cell_length_c 13.739
_cell_angle_alpha 90.00
_cell_angle_beta 90.00
_cell_angle_gamma 90.00
loop_
_atom_site_label
_atom_site_fract_x
_atom_site_fract_y
_atom_site_fract_z
K1 0.000 0.000 0.000
Tl1 0.000 0.000 0.333
Cl1 0.000 0.500 0.000
Cl2 0.000 0.500 0.339
```

## b
KTl2Cl3: optimized geometry, PBE.

Structure (CIF):
```
data_KTl2Cl3
_symmetry_space_group_name_H-M 'C m c m'
_symmetry_Int_Tables_number 63
_symmetry_space_group_name_Hall '-C 2c 2'
_cell_length_a 16.201
_cell_length_b 6.386
_cell_length_c 7.953
_cell_angle_alpha 90.00
_cell_angle_beta 90.00
_cell_angle_gamma 90.00
loop_
_atom_site_label
_atom_site_fract_x
_atom_site_fract_y
_atom_site_fract_z
K1 0.000 0.123 0.250
Tl1 0.169 0.500 0.000
Cl1 0.000 0.373 0.750
Cl2 0.186 0.110 0.250
```

Stability check: which of them is most stable? a.

## a
K2TlCl2: optimized geometry, PBE.

Structure (CIF):
```
data_K2TlCl2
_symmetry_space_group_name_H-M 'I 4/m m m'
_symmetry_Int_Tables_number 139
_symmetry_space_group_name_Hall '-I 4 2'
_cell_length_a 5.651
_cell_length_b 5.651
_cell_length_c 13.279
_cell_angle_alpha 90.00
_cell_angle_beta 90.00
_cell_angle_gamma 90.00
loop_
_atom_site_label
_atom_site_fract_x
_atom_site_fract_y
_atom_site_fract_z
K1 0.000 0.000 0.168
Tl1 0.000 0.000 0.500
Cl1 0.000 0.500 0.250
```

## b
K2TlCl2: optimized geometry, PBE.

Structure (CIF):
```
data_K2TlCl2
_symmetry_space_group_name_H-M 'P 4/m b m'
_symmetry_Int_Tables_number 127
_symmetry_space_group_name_Hall '-P 4 2ab'
_cell_length_a 9.280
_cell_length_b 9.280
_cell_length_c 3.677
_cell_angle_alpha 90.00
_cell_angle_beta 90.00
_cell_angle_gamma 90.00
loop_
_atom_site_label
_atom_site_fract_x
_atom_site_fract_y
_atom_site_fract_z
K1 0.142 0.358 0.000
Tl1 0.000 0.000 0.000
Cl1 0.150 0.650 0.500
```

## c
K2TlCl2: optimized geometry, PBE.

Structure (CIF):
```
data_K2TlCl2
_symmetry_space_group_name_H-M 'P 4/m b m'
_symmetry_Int_Tables_number 127
_symmetry_space_group_name_Hall '-P 4 2ab'
_cell_length_a 8.859
_cell_length_b 8.859
_cell_length_c 3.978
_cell_angle_alpha 90.00
_cell_angle_beta 90.00
_cell_angle_gamma 90.00
loop_
_atom_site_label
_atom_site_fract_x
_atom_site_fract_y
_atom_site_fract_z
K1 0.150 0.350 0.000
Tl1 0.000 0.000 0.500
Cl1 0.150 0.650 0.500
```

Stability check: which of them is most stable? c.

## a
K2TlCl3: optimized geometry, PBE.

Structure (CIF):
```
data_K2TlCl3
_symmetry_space_group_name_H-M 'R -3 c'
_symmetry_Int_Tables_number 167
_symmetry_space_group_name_Hall '-R 3 2"c'
_cell_length_a 7.6841
_cell_length_b 7.6841
_cell_length_c 23.3525
_cell_angle_alpha 90.00
_cell_angle_beta 90.00
_cell_angle_gamma 120.00
loop_
_atom_site_label
_atom_site_fract_x
_atom_site_fract_y
_atom_site_fract_z
K1 0.0000 0.0000 0.1650
Tl1 0.0000 0.0000 0.0000
Cl1 0.0000 0.3269 0.2500
```

## b
K2TlCl3: optimized geometry, PBE.

Structure (CIF):
```
data_K2TlCl3
_symmetry_space_group_name_H-M 'I m m m'
_symmetry_Int_Tables_number 71
_symmetry_space_group_name_Hall '-I 2 2'
_cell_length_a 4.537
_cell_length_b 6.414
_cell_length_c 13.639
_cell_angle_alpha 90.00
_cell_angle_beta 90.00
_cell_angle_gamma 90.00
loop_
_atom_site_label
_atom_site_fract_x
_atom_site_fract_y
_atom_site_fract_z
K1 0.000 0.000 0.165
Tl1 0.000 0.000 0.500
Cl1 0.000 0.500 0.171
Cl2 0.000 0.500 0.500
```

Stability check: which of them is most stable? b.

## a
KUCl6: optimized geometry, PBE.

Structure (CIF):
```
data_KUCl6
_symmetry_space_group_name_H-M 'R -3 m'
_symmetry_Int_Tables_number 166
_symmetry_space_group_name_Hall '-R 3 2"'
_cell_length_a 7.1796
_cell_length_b 7.1796
_cell_length_c 19.8104
_cell_angle_alpha 90.00
_cell_angle_beta 90.00
_cell_angle_gamma 120.00
loop_
_atom_site_label
_atom_site_fract_x
_atom_site_fract_y
_atom_site_fract_z
K1 0.0000 0.0000 0.0000
U1 0.0000 0.0000 0.5000
Cl1 0.0029 0.5015 0.0919
```

## b
KUCl6: optimized geometry, PBE.

Structure (CIF):
```
data_KUCl6
_symmetry_space_group_name_H-M 'C 1 2/m 1'
_symmetry_Int_Tables_number 12
_cell_length_a 7.576
_cell_length_b 11.637
_cell_length_c 6.977
_cell_angle_alpha 90.00
_cell_angle_beta 104.22
_cell_angle_gamma 90.00
loop_
_symmetry_equiv_pos_as_xyz
'x,y,z'
'-x,-y,-z'
'-x,y,-z'
'x,-y,z'
'x+1/2,y+1/2,z'
'-x+1/2,-y+1/2,-z'
'-x+1/2,y+1/2,-z'
'x+1/2,-y+1/2,z'
loop_
_atom_site_label
_atom_site_fract_x
_atom_site_fract_y
_atom_site_fract_z
K1 0.000 0.000 0.000
U1 0.000 0.500 0.500
Cl1 0.172 0.347 0.732
Cl2 0.250 0.000 0.684
```

Stability check: which of them is most stable? b.